A plane-wave DFT calculation with PBE was carried out for a relaxed Cd4NiMo crystal.

Output
- calculated volume (Å³ per cell) = 120
- DFT total energy (eV per atom) = -2.702
- energy of formation from the pure elements (eV/atom) = 0.677
- magnetic moment (Bohr magnetons per cell) = 4.00

abc: 5.5324 5.5324 5.5324
angles: 60.00 60.00 60.00
Last column: nearest neighbours and their distance in Å.
Sites, in units of the cell vectors:
Cd 0.8757 0.3748 0.3748  6 Cd 2.76-2.77
Ni 0.0000 0.0000 0.0000  12 Cd 3.24, 4 Mo 3.39
Cd 0.3748 0.8757 0.3748  6 Cd 2.76-2.77
Mo 0.7500 0.7500 0.7500  12 Cd 3.24, 4 Ni 3.39
Cd 0.3748 0.3748 0.3748  6 Cd 2.76-2.77
Cd 0.3748 0.3748 0.8757  6 Cd 2.76-2.77